# 1
KCdSb2 | SCAN | single point on PBEsol structure

a b c (Å): 3.2676 3.2676 10.3112
angles (deg): 90.00 90.00 90.00
Last column: nearest neighbours and their distance in Å.
Space group P4mm (No. 99)
Inequivalent atoms, fractional coordinates:
K  0.0000  0.0000  0.0000 (multiplicity 1)  4 K 3.27, 4 Cd 3.58, 4 Sb 3.60
Cd  0.5000  0.5000  0.7354 (multiplicity 1)  4 Sb 3.26, 4 Cd 3.27, 4 K 3.58
Sb  0.0000  0.0000  0.5126 (multiplicity 1)  4 Cd 3.26, 8 Sb 3.27-3.42
Sb  0.5000  0.5000  0.2678 (multiplicity 1)  8 Sb 3.27-3.42, 4 K 3.60

## Properties
As for the raw formation energy: 0.09 eV per atom. The density is 5.96 g/cm³.

# 2
KCdSb2 | SCAN | single point on PBEsol structure

a b c (Å): 4.0063 4.0063 7.2898
angles (deg): 90.00 90.00 90.00
Last column: nearest neighbours and their distance in Å.
Space group P4/mmm (No. 123)
Inequivalent atoms, fractional coordinates:
K  0.0000  0.0000  0.0000 (multiplicity 1)  8 Sb 3.62, 2 Cd 3.64, 4 K 4.01
Cd  0.0000  0.0000  0.5000 (multiplicity 1)  8 Sb 3.16
Sb  0.5000  0.5000  0.3093 (multiplicity 2)  1 Sb 2.78

## Properties
As for the raw formation energy: -0.14 eV per atom. The density is 5.61 g/cm³.